First-principles (GGA-PBEsol) data for an optimized crystal structure of ZrTePbI2, as listed in Alexandria.

a = 5.5727 Å, b = 5.5727 Å, c = 5.6077 Å
α = 90.00°, β = 90.00°, γ = 90.00°
Positions (direct):
Zr1 0.0000 0.0000 0.0000
Te1 0.0000 0.0000 0.5000
Pb1 0.5000 0.5000 0.5000
I1 0.0000 0.5000 0.0000
I2 0.5000 0.0000 0.0000

Values from the calculation:
Crystal system: tetragonal
Formation energy without anion corrections (eV/atom): -0.20
D(E_F) (states/eV/cell): 4.94